An optimized crystal structure of PrV2TcO8, computed with GGA+U.

The structure in POSCAR format:
```
PrV2TcO8
1.0
4.376 -2.906 0.000
4.376 2.906 0.000
-0.030 0.000 7.006
Pr V Tc O
1 2 1 8
Direct
0.000 0.000 0.000
0.360 0.360 0.725
0.640 0.640 0.275
0.000 0.000 0.500
0.212 0.735 0.714
0.224 0.224 0.550
0.265 0.788 0.286
0.273 0.273 0.943
0.727 0.727 0.057
0.735 0.212 0.714
0.776 0.776 0.450
0.788 0.265 0.286
```

Computed properties:
Its crystal system is monoclinic. Its space group is C2/m, No. 12. The value obtained for the total moment is 2.00 μB/cell. The calculated total energy is -7.86 eV/atom.